# Y2Zn3 (PBE-GGA, optimized geometry)
data_Y2Zn3
_chemical_formula_sum 'Y4 Zn6'
_symmetry_space_group_name_H-M 'P 1'
_symmetry_Int_Tables_number 1
_cell_length_a 7.978
_cell_length_b 7.978
_cell_length_c 8.181
_cell_angle_alpha 86.70
_cell_angle_beta 86.70
_cell_angle_gamma 25.55
loop_
_symmetry_equiv_pos_as_xyz
'x,y,z'
loop_
_atom_site_label
_atom_site_fract_x
_atom_site_fract_y
_atom_site_fract_z
Zn1 0.543 0.543 0.857
Zn2 0.005 0.005 0.649
Zn3 0.616 0.616 0.411
Zn4 0.384 0.384 0.589
Zn5 0.995 0.995 0.351
Zn6 0.457 0.457 0.143
Y1 0.196 0.196 0.666
Y2 0.143 0.143 0.090
Y3 0.804 0.804 0.334
Y4 0.857 0.857 0.910
# Space-group type   C2/m (12)
# E_form   -0.17 eV/atom
# Raw total energy   -3.5215 eV/atom
# M_tot   0.0 μB per cell

# Pm4PrY6 (PBE-GGA, optimized geometry)
data_Pm4PrY6
_chemical_formula_sum 'Pm4 Pr1 Y6'
_symmetry_space_group_name_H-M 'P 1'
_symmetry_Int_Tables_number 1
_cell_length_a 3.572
_cell_length_b 11.075
_cell_length_c 11.075
_cell_angle_alpha 120.00
_cell_angle_beta 90.00
_cell_angle_gamma 90.00
loop_
_symmetry_equiv_pos_as_xyz
'x,y,z'
loop_
_atom_site_label
_atom_site_fract_x
_atom_site_fract_y
_atom_site_fract_z
Pm1 0.500 0.802 0.198
Pm2 0.500 0.802 0.603
Pm3 0.000 0.333 0.667
Pm4 0.500 0.397 0.198
Y1 0.500 0.170 0.830
Y2 0.500 0.170 0.340
Y3 0.000 0.496 0.993
Y4 0.000 0.496 0.504
Y5 0.500 0.660 0.830
Y6 0.000 0.007 0.504
Pr1 0.000 0.000 0.000
# Space-group type   P-6m2 (187)
# E_form   0.16 eV/atom
# Relative energy among the computed polymorphs   0.55 eV per formula unit
# Raw total energy   -5.5310 eV/atom
# M_tot   0.0 μB per cell

# Rb2BaHgCl6 (PBE-GGA, optimized geometry)
data_Rb2BaHgCl6
_chemical_formula_sum 'Rb2 Ba1 Hg1 Cl6'
_symmetry_space_group_name_H-M 'P 1'
_symmetry_Int_Tables_number 1
_cell_length_a 8.031
_cell_length_b 8.031
_cell_length_c 8.035
_cell_angle_alpha 60.02
_cell_angle_beta 60.02
_cell_angle_gamma 90.00
loop_
_symmetry_equiv_pos_as_xyz
'x,y,z'
loop_
_atom_site_label
_atom_site_fract_x
_atom_site_fract_y
_atom_site_fract_z
Cl1 0.237 0.763 0.000
Cl2 0.237 0.237 0.000
Cl3 0.763 0.237 0.000
Cl4 0.763 0.763 0.000
Cl5 0.237 0.237 0.526
Cl6 0.763 0.763 0.474
Rb1 0.250 0.750 0.500
Rb2 0.750 0.250 0.500
Ba1 0.500 0.500 0.000
Hg1 0.000 0.000 0.000
# Raw formation energy   -1.649 eV per atom
# Space-group type   Fm-3m (225)
# Relative energy among the computed polymorphs   0.47 eV per formula unit
# Raw total energy   -3.1726 eV/atom
# M_tot   0.0 μB per cell

# SiBi (PBE-GGA, optimized geometry)
data_SiBi
_chemical_formula_sum 'Si6 Bi6'
_symmetry_space_group_name_H-M 'P 1'
_symmetry_Int_Tables_number 1
_cell_length_a 12.224
_cell_length_b 4.241
_cell_length_c 7.036
_cell_angle_alpha 90.00
_cell_angle_beta 90.00
_cell_angle_gamma 90.00
loop_
_symmetry_equiv_pos_as_xyz
'x,y,z'
loop_
_atom_site_label
_atom_site_fract_x
_atom_site_fract_y
_atom_site_fract_z
Si1 0.678 0.000 0.049
Si2 0.322 0.000 0.049
Si3 0.500 0.000 0.179
Si4 0.822 0.500 0.549
Si5 0.000 0.500 0.679
Si6 0.178 0.500 0.549
Bi1 0.189 0.500 0.150
Bi2 0.689 0.000 0.650
Bi3 0.311 0.000 0.650
Bi4 0.811 0.500 0.150
Bi5 0.000 0.000 0.926
Bi6 0.500 0.500 0.426
# Raw formation energy   0.345 eV per atom
# Space-group type   Imm2 (44)
# Raw total energy   -4.3070 eV/atom
# M_tot   0.0 μB per cell

# TaNb2NiHg (PBE-GGA, optimized geometry)
data_TaNb2NiHg
_chemical_formula_sum 'Ta1 Nb2 Ni1 Hg1'
_symmetry_space_group_name_H-M 'P 1'
_symmetry_Int_Tables_number 1
_cell_length_a 4.892
_cell_length_b 4.622
_cell_length_c 4.892
_cell_angle_alpha 90.00
_cell_angle_beta 90.00
_cell_angle_gamma 90.00
loop_
_symmetry_equiv_pos_as_xyz
'x,y,z'
loop_
_atom_site_label
_atom_site_fract_x
_atom_site_fract_y
_atom_site_fract_z
Nb1 0.000 0.000 0.500
Nb2 0.500 0.000 0.000
Hg1 0.500 0.500 0.500
Ni1 0.000 0.500 0.000
Ta1 0.000 0.000 0.000
# Space-group type   P4/mmm (123)
# E_form   1.26 eV/atom
# Raw total energy   -6.3560 eV/atom
# M_tot   0.0 μB per cell

# BaAlSbI2 (PBE-GGA, optimized geometry)
data_BaAlSbI2
_chemical_formula_sum 'Ba1 Al1 Sb1 I2'
_symmetry_space_group_name_H-M 'P 1'
_symmetry_Int_Tables_number 1
_cell_length_a 5.738
_cell_length_b 5.738
_cell_length_c 5.509
_cell_angle_alpha 90.00
_cell_angle_beta 90.00
_cell_angle_gamma 90.00
loop_
_symmetry_equiv_pos_as_xyz
'x,y,z'
loop_
_atom_site_label
_atom_site_fract_x
_atom_site_fract_y
_atom_site_fract_z
I1 0.000 0.500 0.000
I2 0.500 0.000 0.000
Sb1 0.000 0.000 0.500
Al1 0.000 0.000 0.000
Ba1 0.500 0.500 0.500
# Raw formation energy   -0.591 eV per atom
# Space-group type   P4/mmm (123)
# Relative energy among the computed polymorphs   0.00 eV per formula unit
# Raw total energy   -3.1690 eV/atom
# M_tot   0.0 μB per cell

# Mg2BPd6 (PBE-GGA, optimized geometry)
data_Mg2BPd6
_chemical_formula_sum 'Mg2 B1 Pd6'
_symmetry_space_group_name_H-M 'P 1'
_symmetry_Int_Tables_number 1
_cell_length_a 5.002
_cell_length_b 6.451
_cell_length_c 6.512
_cell_angle_alpha 127.37
_cell_angle_beta 58.27
_cell_angle_gamma 122.06
loop_
_symmetry_equiv_pos_as_xyz
'x,y,z'
loop_
_atom_site_label
_atom_site_fract_x
_atom_site_fract_y
_atom_site_fract_z
Mg1 0.494 0.634 0.364
Mg2 0.506 0.366 0.636
Pd1 0.485 0.872 0.132
Pd2 0.987 0.867 0.619
Pd3 0.515 0.128 0.868
Pd4 0.013 0.133 0.381
Pd5 0.014 0.617 0.867
Pd6 0.986 0.383 0.133
B1 0.000 0.000 0.000
# Space-group type   P-1 (2)
# E_form   -0.55 eV/atom
# Raw total energy   -5.1082 eV/atom
# M_tot   0.0 μB per cell

# Ca2CdMo (PBE-GGA, optimized geometry)
data_Ca2CdMo
_chemical_formula_sum 'Ca2 Cd1 Mo1'
_symmetry_space_group_name_H-M 'P 1'
_symmetry_Int_Tables_number 1
_cell_length_a 4.734
_cell_length_b 3.134
_cell_length_c 7.268
_cell_angle_alpha 64.34
_cell_angle_beta 90.00
_cell_angle_gamma 90.00
loop_
_symmetry_equiv_pos_as_xyz
'x,y,z'
loop_
_atom_site_label
_atom_site_fract_x
_atom_site_fract_y
_atom_site_fract_z
Cd1 0.500 0.250 0.250
Ca1 0.000 0.012 0.987
Ca2 0.000 0.488 0.513
Mo1 0.500 0.750 0.750
# Space-group type   P2/m (10)
# E_form   0.51 eV/atom
# Raw total energy   -3.4310 eV/atom
# M_tot   0.0 μB per cell